Record 1
An optimized crystal structure of Sr2VRuAu. Source: Alexandria via LeMat-Bulk, functional GGA-PBE.

Computed properties:
M_tot: 0.47 μB/atom
Fermi-level density of states: 5.85 states/eV per cell
VASP energy: -4.67 eV/atom
formation energy: 0.34 eV per atom
space group: P4/mmm, No. 123

Cell lengths 5.8473, 5.8473, 4.4899 Å; angles 90.00, 90.00, 90.00 degrees
With the nearest neighbours (Å) after each atom.
Element x y z (fractional)
Sr1 0.0000 0.5000 0.0000  2 Ru 2.92
Sr2 0.5000 0.0000 0.0000  2 Ru 2.92
V1 0.0000 0.0000 0.5000  2 Ru 2.24
Ru1 0.0000 0.0000 0.0000  2 V 2.24
Au1 0.5000 0.5000 0.5000  8 Sr 3.69



Record 2
An optimized crystal structure of CeCo4Ir. Source: Alexandria via LeMat-Bulk, functional GGA-PBE.

Computed properties:
M_tot: 1.03 μB/atom
Fermi-level density of states: 9.94 states/eV per cell
VASP energy: -7.28 eV/atom
formation energy: -0.08 eV per atom
space group: F-43m, No. 216

Cell lengths 4.9180, 4.9180, 4.9180 Å; angles 60.00, 60.00, 60.00 degrees
With the nearest neighbours (Å) after each atom.
Element x y z (fractional)
Ce1 0.0000 0.0000 0.0000  12 Co 2.89, 4 Ir 3.01
Co1 0.3762 0.3762 0.3762  6 Co 2.43-2.48
Co2 0.3762 0.3762 0.8713  6 Co 2.43-2.48
Co3 0.3762 0.8713 0.3762  6 Co 2.43-2.48
Co4 0.8713 0.3762 0.3762  6 Co 2.43-2.48
Ir1 0.7500 0.7500 0.7500  12 Co 2.88, 4 Ce 3.01



Record 3
An optimized crystal structure of Ba2CoP. Source: Alexandria via LeMat-Bulk, functional GGA-PBE.

Computed properties:
M_tot: 0.21 μB/atom
Fermi-level density of states: 3.56 states/eV per cell
VASP energy: -4.48 eV/atom
formation energy: -0.39 eV per atom
space group: Imm2, No. 44

Cell lengths 8.8385, 8.8385, 8.8385 Å; angles 152.51, 151.12, 40.30 degrees
With the nearest neighbours (Å) after each atom.
Element x y z (fractional)
Ba1 0.0000 0.0000 0.0000  2 Co 3.00
Ba2 0.7728 0.2728 0.5000  2 P 3.13, 4 Co 3.51
Co1 0.3776 0.8776 0.5000  2 P 2.16
P1 0.4070 0.4070 0.0000  2 Co 2.16